Entry 1:
DFT (GGA-PBEsol) results for a geometry-optimized Y2Cd structure.

Values from the calculation:
V ... 164.17 Å³/cell
Energy of formation ... -157 meV/atom
Total moment ... 0.01 μB per cell
Raw total energy ... -30.63 eV/cell
Density of states at the Fermi level ... 8.60 states/eV/cell
Symmetry ... C2/m, No. 12

a b c (Å): 3.629 6.704 7.240
angles (deg): 103.95 90.00 105.70
Fractional coordinates of all 6 atoms:
Y (0.691, 0.381, 0.637)
Y (0.309, 0.619, 0.363)
Y (0.981, 0.962, 0.735)
Y (0.019, 0.038, 0.265)
Cd (0.654, 0.308, 0.049)
Cd (0.346, 0.692, 0.951)

Entry 2:
DFT (GGA-PBEsol) results for a geometry-optimized SrAgSbTe2 structure.

Values from the calculation:
V ... 209.33 Å³/cell
Formation energy from raw total energies ... 704 meV/atom
Total moment ... 0.00 μB per cell
Raw total energy ... -13.24 eV/cell
Density of states at the Fermi level ... 5.63 states/eV/cell
Symmetry ... P4/mmm, No. 123

a b c (Å): 5.915 5.949 5.949
angles (deg): 90.00 90.00 90.00
Fractional coordinates of all 5 atoms:
Sr (0.000, 0.000, 0.000)
Te (0.000, 0.000, 0.500)
Te (0.000, 0.500, 0.000)
Sb (0.500, 0.000, 0.000)
Ag (0.500, 0.500, 0.500)

Entry 3:
DFT (GGA-PBEsol) results for a geometry-optimized Lu2InNi2 structure.

Values from the calculation:
V ... 92.45 Å³/cell
Energy of formation ... -585 meV/atom
Total moment ... 0.00 μB per cell
Raw total energy ... -27.97 eV/cell
Density of states at the Fermi level ... 2.39 states/eV/cell
Symmetry ... Cmmm, No. 65

a b c (Å): 3.462 3.855 7.190
angles (deg): 74.45 90.00 90.00
Fractional coordinates of all 5 atoms:
Lu (0.500, 0.640, 0.719)
Lu (0.500, 0.360, 0.281)
Ni (0.000, 0.198, 0.604)
Ni (0.000, 0.802, 0.396)
In (0.000, 0.000, 0.000)

Entry 4:
DFT (GGA-PBEsol) results for a geometry-optimized SrCaAsBr2 structure.

Values from the calculation:
V ... 162.96 Å³/cell
Formation energy from raw total energies ... -1139 meV/atom
Total moment ... 0.88 μB per cell
Raw total energy ... -18.52 eV/cell
Density of states at the Fermi level ... 4.46 states/eV/cell
Symmetry ... P4/mmm, No. 123

a b c (Å): 5.353 5.353 5.686
angles (deg): 90.00 90.00 90.00
Site moments in Bohr magnetons follow the coordinates.
Fractional coordinates of all 5 atoms:
Br (0.000, 0.500, 0.000)  0.04
Br (0.500, 0.000, 0.000)  0.04
Ca (0.000, 0.000, 0.000)  0.02
Sr (0.500, 0.500, 0.500)  0.01
As (0.000, 0.000, 0.500)  0.31

Entry 5:
DFT (GGA-PBEsol) results for a geometry-optimized TeMoCl2 structure.

Values from the calculation:
V ... 78.94 Å³/cell
Formation energy from raw total energies ... 410 meV/atom
Total moment ... 2.96 μB per cell
Raw total energy ... -17.67 eV/cell
Density of states at the Fermi level ... 2.22 states/eV/cell
Symmetry ... Pmmm, No. 47

a b c (Å): 3.157 4.623 5.409
angles (deg): 90.00 90.00 90.00
Site moments in Bohr magnetons follow the coordinates.
Fractional coordinates of all 4 atoms:
Mo (0.500, 0.500, 0.000)  2.59
Te (0.000, 0.500, 0.500)  -0.03
Cl (0.000, 0.000, 0.000)  -0.01
Cl (0.500, 0.000, 0.500)  0.05

Entry 6:
DFT (GGA-PBEsol) results for a geometry-optimized LiCr2Ni structure.

Values from the calculation:
V ... 44.86 Å³/cell
Energy of formation ... 349 meV/atom
Total moment ... 0.00 μB per cell
Polymorph energy (0 for the lowest one) ... 0 meV/atom
Raw total energy ... -27.21 eV/cell
Density of states at the Fermi level ... 3.52 states/eV/cell
Symmetry ... Imm2, No. 44

a b c (Å): 2.798 4.201 4.575
angles (deg): 117.33 107.77 90.00
Fractional coordinates of all 4 atoms:
Cr (0.018, 0.019, 0.037)
Cr (0.724, 0.224, 0.448)
Ni (0.257, 0.757, 0.515)
Li (0.500, 0.500, 0.000)

Entry 7:
DFT (GGA-PBEsol) results for a geometry-optimized SrTiAu3 structure.

Values from the calculation:
V ... 153.40 Å³/cell
Energy of formation ... 1100 meV/atom
Total moment ... 2.58 μB per cell
Raw total energy ... -16.43 eV/cell
Density of states at the Fermi level ... 5.89 states/eV/cell
Symmetry ... Pm-3m, No. 221

a b c (Å): 5.353 5.353 5.353
angles (deg): 90.00 90.00 90.00
Site moments in Bohr magnetons follow the coordinates.
Fractional coordinates of all 5 atoms:
Au (0.500, 0.000, 0.000)  -0.01
Au (0.000, 0.000, 0.500)  -0.01
Au (0.000, 0.500, 0.000)  -0.01
Sr (0.000, 0.000, 0.000)  0.00
Ti (0.500, 0.500, 0.500)  1.92

Entry 8:
DFT (GGA-PBEsol) results for a geometry-optimized SrBeIr2 structure.

Values from the calculation:
V ... 67.36 Å³/cell
Energy of formation ... 373 meV/atom
Total moment ... 0.00 μB per cell
Raw total energy ... -24.00 eV/cell
Density of states at the Fermi level ... 3.63 states/eV/cell
Symmetry ... Imm2, No. 44

a b c (Å): 2.871 4.874 5.583
angles (deg): 115.88 104.90 90.00
Fractional coordinates of all 4 atoms:
Ir (0.715, 0.215, 0.430)
Ir (0.985, 0.985, 0.971)
Be (0.294, 0.794, 0.589)
Sr (0.505, 0.505, 0.010)

Entry 9:
DFT (GGA-PBEsol) results for a geometry-optimized BaY2Si structure.

Values from the calculation:
V ... 112.58 Å³/cell
Formation energy from raw total energies ... 153 meV/atom
Total moment ... 1.02 μB per cell
Raw total energy ... -20.93 eV/cell
Density of states at the Fermi level ... 5.32 states/eV/cell
Symmetry ... F-43m, No. 216

a b c (Å): 5.420 5.420 5.420
angles (deg): 60.00 60.00 60.00
Site moments in Bohr magnetons follow the coordinates.
Fractional coordinates of all 4 atoms:
Si (0.250, 0.250, 0.250)  -0.02
Ba (0.500, 0.500, 0.500)  0.07
Y (0.750, 0.750, 0.750)  0.37
Y (0.000, 0.000, 0.000)  0.27

Entry 10:
DFT (GGA-PBEsol) results for a geometry-optimized Be12W structure.

Values from the calculation:
V ... 107.67 Å³/cell
Energy of formation ... -94 meV/atom
Total moment ... 0.00 μB per cell
Raw total energy ... -63.03 eV/cell
Density of states at the Fermi level ... 1.34 states/eV/cell
Symmetry ... I4/mmm, No. 139

a b c (Å): 4.190 5.485 5.485
angles (deg): 81.61 67.54 67.54
Fractional coordinates of all 13 atoms:
Be (0.500, 0.211, 0.789)
Be (0.000, 0.351, 0.649)
Be (0.000, 0.500, 0.000)
Be (0.000, 0.000, 0.500)
Be (0.500, 0.500, 0.000)
Be (0.000, 0.649, 0.351)
Be (0.500, 0.789, 0.211)
Be (0.649, 0.351, 0.351)
Be (0.351, 0.649, 0.649)
Be (0.500, 0.000, 0.500)
Be (0.711, 0.789, 0.789)
Be (0.289, 0.211, 0.211)
W (0.000, 0.000, 0.000)

Entry 11:
DFT (GGA-PBEsol) results for a geometry-optimized PWS2N structure.

Values from the calculation:
V ... 61.69 Å³/cell
Formation energy from raw total energies ... 962 meV/atom
Total moment ... 0.00 μB per cell
Raw total energy ... -32.08 eV/cell
Density of states at the Fermi level ... 3.11 states/eV/cell
Symmetry ... P4/mmm, No. 123

a b c (Å): 3.813 4.023 4.023
angles (deg): 90.00 90.00 90.00
Fractional coordinates of all 5 atoms:
N (0.000, 0.000, 0.000)
S (0.000, 0.500, 0.000)
S (0.000, 0.000, 0.500)
P (0.500, 0.000, 0.000)
W (0.500, 0.500, 0.500)

Entry 12:
DFT (GGA-PBEsol) results for a geometry-optimized Co5CuS8 structure.

Values from the calculation:
V ... 196.37 Å³/cell
Formation energy from raw total energies ... -530 meV/atom
Total moment ... 0.00 μB per cell
Raw total energy ... -85.51 eV/cell
Density of states at the Fermi level ... 7.40 states/eV/cell
Symmetry ... F-43m, No. 216

a b c (Å): 6.524 6.524 6.524
angles (deg): 60.00 60.00 60.00
Fractional coordinates of all 14 atoms:
S (0.618, 0.146, 0.618)
S (0.137, 0.137, 0.137)
S (0.146, 0.618, 0.618)
S (0.137, 0.137, 0.588)
S (0.618, 0.618, 0.618)
S (0.618, 0.618, 0.146)
S (0.588, 0.137, 0.137)
S (0.137, 0.588, 0.137)
Co (0.375, 0.375, 0.874)
Co (0.874, 0.375, 0.375)
Co (0.375, 0.375, 0.375)
Co (0.375, 0.874, 0.375)
Co (0.750, 0.750, 0.750)
Cu (0.000, 0.000, 0.000)

Entry 13:
DFT (GGA-PBEsol) results for a geometry-optimized Li2CdOs structure.

Values from the calculation:
V ... 57.26 Å³/cell
Energy of formation ... 393 meV/atom
Total moment ... 0.00 μB per cell
Raw total energy ... -15.78 eV/cell
Density of states at the Fermi level ... 2.01 states/eV/cell
Symmetry ... P4/mmm, No. 123

a b c (Å): 3.816 3.874 3.874
angles (deg): 90.00 90.00 90.00
Fractional coordinates of all 4 atoms:
Li (0.000, 0.500, 0.000)
Li (0.000, 0.000, 0.500)
Cd (0.500, 0.000, 0.000)
Os (0.500, 0.500, 0.500)

Entry 14:
DFT (GGA-PBEsol) results for a geometry-optimized Be2NiPPb structure.

Values from the calculation:
V ... 89.23 Å³/cell
Energy of formation ... 703 meV/atom
Total moment ... 0.00 μB per cell
Raw total energy ... -20.43 eV/cell
Density of states at the Fermi level ... 2.30 states/eV/cell
Symmetry ... P4/mmm, No. 123

a b c (Å): 3.900 3.900 5.866
angles (deg): 90.00 90.00 90.00
Fractional coordinates of all 5 atoms:
Ni (0.500, 0.500, 0.500)
P (0.000, 0.000, 0.000)
Pb (0.000, 0.000, 0.500)
Be (0.500, 0.000, 0.000)
Be (0.000, 0.500, 0.000)

Entry 15:
DFT (GGA-PBEsol) results for a geometry-optimized NiN2F14 structure.

Values from the calculation:
V ... 207.54 Å³/cell
Formation energy from raw total energies ... -760 meV/atom
Total moment ... 0.20 μB per cell
Raw total energy ... -63.11 eV/cell
Symmetry ... I4/m, No. 87

a b c (Å): 6.625 6.625 6.625
angles (deg): 88.88 60.64 119.36
Site moments in Bohr magnetons follow the coordinates.
Fractional coordinates of all 17 atoms:
F (0.439, 0.026, 0.252)  0.00
F (0.561, 0.974, 0.748)  0.00
F (0.634, 0.766, 0.133)  0.00
F (0.000, 0.193, 0.807)  0.02
F (0.279, 0.252, 0.309)  0.00
F (0.439, 0.691, 0.588)  0.00
F (0.899, 0.133, 0.234)  0.00
F (0.561, 0.309, 0.412)  0.00
F (0.000, 0.807, 0.193)  0.02
F (0.279, 0.588, 0.974)  0.00
F (0.101, 0.867, 0.766)  0.00
F (0.366, 0.234, 0.867)  0.00
F (0.721, 0.412, 0.026)  0.00
F (0.721, 0.748, 0.691)  0.00
N (0.500, 0.250, 0.250)  0.00
N (0.500, 0.750, 0.750)  0.00
Ni (0.000, 0.000, 0.000)  0.13

Entry 16:
DFT (GGA-PBEsol) results for a geometry-optimized ZrScAl2 structure.

Values from the calculation:
V ... 74.99 Å³/cell
Energy of formation ... -441 meV/atom
Total moment ... 0.00 μB per cell
Polymorph energy (0 for the lowest one) ... 4 meV/atom
Raw total energy ... -25.64 eV/cell
Density of states at the Fermi level ... 3.47 states/eV/cell
Symmetry ... Cmmm, No. 65

a b c (Å): 3.022 5.097 5.097
angles (deg): 107.20 90.00 90.00
Fractional coordinates of all 4 atoms:
Al (0.000, 0.000, 0.500)
Al (0.000, 0.500, 0.000)
Zr (0.500, 0.500, 0.500)
Sc (0.500, 0.000, 0.000)

Entry 17:
DFT (GGA-PBEsol) results for a geometry-optimized TlTc3 structure.

Values from the calculation:
V ... 63.70 Å³/cell
Energy of formation ... 439 meV/atom
Total moment ... 0.00 μB per cell
Polymorph energy (0 for the lowest one) ... 0 meV/atom
Raw total energy ... -34.67 eV/cell
Density of states at the Fermi level ... 3.65 states/eV/cell
Symmetry ... Pmmm, No. 47

a b c (Å): 2.848 3.947 5.666
angles (deg): 90.00 90.00 90.00
Fractional coordinates of all 4 atoms:
Tc (0.000, 0.000, 0.500)
Tc (0.500, 0.500, 0.292)
Tc (0.500, 0.500, 0.708)
Tl (0.000, 0.000, 0.000)

Entry 18:
DFT (GGA-PBEsol) results for a geometry-optimized K2BaMn structure.

Values from the calculation:
V ... 192.77 Å³/cell
Energy of formation ... 593 meV/atom
Total moment ... 3.92 μB per cell
Raw total energy ... -11.80 eV/cell
Density of states at the Fermi level ... 6.02 states/eV/cell
Symmetry ... P4mm, No. 99

a b c (Å): 4.136 4.136 11.269
angles (deg): 90.00 90.00 90.01
Site moments in Bohr magnetons follow the coordinates.
Fractional coordinates of all 4 atoms:
K (0.000, 0.000, 0.010)  0.00
K (0.500, 0.500, 0.684)  0.00
Mn (0.000, 0.000, 0.482)  4.06
Ba (0.500, 0.500, 0.325)  -0.11

Entry 19:
DFT (GGA-PBEsol) results for a geometry-optimized Sr2BePb structure.

Values from the calculation:
V ... 117.53 Å³/cell
Energy of formation ... -13 meV/atom
Total moment ... 0.00 μB per cell
Polymorph energy (0 for the lowest one) ... 0 meV/atom
Raw total energy ... -11.73 eV/cell
Density of states at the Fermi level ... 2.23 states/eV/cell
Symmetry ... P4/mmm, No. 123

a b c (Å): 3.844 3.844 7.954
angles (deg): 90.00 90.00 90.00
Fractional coordinates of all 4 atoms:
Sr (0.000, 0.000, 0.773)
Sr (0.000, 0.000, 0.227)
Be (0.500, 0.500, 0.000)
Pb (0.500, 0.500, 0.500)

Entry 20:
DFT (GGA-PBEsol) results for a geometry-optimized Mn2MoPt structure.

Values from the calculation:
V ... 52.18 Å³/cell
Energy of formation ... -71 meV/atom
Total moment ... 0.17 μB per cell
Raw total energy ... -38.54 eV/cell
Density of states at the Fermi level ... 3.61 states/eV/cell
Symmetry ... I-4m2, No. 119

a b c (Å): 3.699 3.699 4.624
angles (deg): 113.58 113.58 90.00
Site moments in Bohr magnetons follow the coordinates.
Fractional coordinates of all 4 atoms:
Mn (0.000, 0.000, 0.000)  -1.75
Mn (0.750, 0.250, 0.500)  1.88
Mo (0.500, 0.500, 0.000)  -0.03
Pt (0.250, 0.750, 0.500)  0.06